No. 1
AlAs2Pb PBE-GGA relaxed; DFT total energy = -15.55 eV per formula unit; D(E_F) = 0.52 states/eV per atom; ΔE_f = 0.299 eV per atom; ρ = 7031 kg/m3; energy above the lowest structure with this stoichiometry = 40.11 kJ/mol of atoms; volume = 22.67 A^3/atom
1.0
-6.063 0.257 -0.613
-3.862 -2.237 4.158
4.934 3.562 -0.415
Pb As Al
1 2 1
Direct
0.500 0.500 0.000
0.000 0.000 0.000
0.250 0.750 0.500
0.750 0.250 0.500

No. 2
Dy4TmSe6 PBE-GGA relaxed; DFT total energy = -63.60 eV per formula unit; D(E_F) = 0.27 states/eV per atom; ρ = 7814 kg/m3; raw formation energy = -1.80 eV/atom; volume = 24.97 A^3/atom
1.0
3.964 0.000 0.000
-1.982 6.690 0.000
0.000 0.000 20.717
Se Dy Tm
12 8 2
Direct
0.306 0.612 0.250
0.055 0.109 0.332
0.945 0.891 0.668
0.230 0.461 0.909
0.500 0.000 0.500
0.500 0.000 0.000
0.694 0.388 0.750
0.055 0.109 0.168
0.945 0.891 0.832
0.770 0.539 0.409
0.770 0.539 0.091
0.230 0.461 0.591
0.141 0.282 0.038
0.589 0.178 0.627
0.411 0.822 0.127
0.859 0.718 0.538
0.141 0.282 0.462
0.411 0.822 0.373
0.589 0.178 0.873
0.859 0.718 0.962
0.348 0.696 0.750
0.652 0.304 0.250

volume of number 1 (AlAs2Pb)? 22.67 A^3/atom

Which of these has the highest volume? Dy4TmSe6

Which value of DFT total energy does entry 2 give? -63.60 eV per formula unit

Repeat the first record exactly.
AlAs2Pb PBE-GGA relaxed; DFT total energy = -15.55 eV per formula unit; D(E_F) = 0.52 states/eV per atom; ΔE_f = 0.299 eV per atom; ρ = 7031 kg/m3; energy above the lowest structure with this stoichiometry = 40.11 kJ/mol of atoms; volume = 22.67 A^3/atom
1.0
-6.063 0.257 -0.613
-3.862 -2.237 4.158
4.934 3.562 -0.415
Pb As Al
1 2 1
Direct
0.500 0.500 0.000
0.000 0.000 0.000
0.250 0.750 0.500
0.750 0.250 0.500